[1]
Density functional theory data (PBE-GGA) for crystalline Tm2LuSi4Ni4 at its relaxed geometry.

a b c (Å): 7.5942 7.5942 7.5942
angles (deg): 149.54 129.17 60.42
With the nearest neighbours (Å) after each atom.
Fractional positions:
Tm 0.1284 0.1284 0.0000  6 Si 2.84-2.89, 6 Ni 2.87-2.88
Tm 0.8716 0.8716 0.0000  6 Si 2.84-2.89, 6 Ni 2.87-2.88
Lu 0.5000 0.0000 0.5000  6 Si 2.84-2.86
Si 0.1888 0.5000 0.6888  2 Ni 2.43, 1 Si 2.46
Si 0.2821 0.7821 0.5000  6 Ni 2.43
Si 0.7179 0.2179 0.5000  6 Ni 2.43
Si 0.8112 0.5000 0.3112  2 Ni 2.43, 1 Si 2.46
Ni 0.1288 0.3243 0.8045  4 Si 2.43, 1 Ni 2.55
Ni 0.4802 0.6757 0.8045  4 Si 2.43, 1 Ni 2.55
Ni 0.5198 0.3243 0.1955  4 Si 2.43, 1 Ni 2.55
Ni 0.8712 0.6757 0.1955  4 Si 2.43, 1 Ni 2.55

total energy	-66.30	eV per formula unit
symmetry	Immm (71)

***

[2]
Density functional theory data (PBE-GGA) for crystalline TmLuSi4Ni2 at its relaxed geometry.

a b c (Å): 3.9219 3.9048 16.4391
angles (deg): 90.00 90.00 90.00
With the nearest neighbours (Å) after each atom.
Fractional positions:
Tm 0.0000 0.0000 0.0000  10 Si 2.97-3.09, 4 Ni 3.00
Tm 0.0000 0.5000 0.5000  10 Si 2.97-3.09, 4 Ni 3.00
Lu 0.5000 0.0000 0.2104  10 Si 2.97-3.08, 4 Ni 3.00
Lu 0.5000 0.5000 0.7104  10 Si 2.97-3.08, 4 Ni 3.00
Si 0.0000 0.0000 0.3551  4 Ni 2.31
Si 0.0000 0.0000 0.6446  1 Ni 2.23, 2 Si 2.35
Si 0.0000 0.5000 0.1446  1 Ni 2.23, 2 Si 2.35
Si 0.0000 0.5000 0.8551  4 Ni 2.31
Si 0.5000 0.0000 0.5658  1 Ni 2.24, 2 Si 2.35
Si 0.5000 0.0000 0.8545  4 Ni 2.31
Si 0.5000 0.5000 0.0658  1 Ni 2.24, 2 Si 2.35
Si 0.5000 0.5000 0.3545  4 Ni 2.31
Ni 0.0000 0.0000 0.7804  5 Si 2.23-2.31
Ni 0.0000 0.5000 0.2804  5 Si 2.23-2.31
Ni 0.5000 0.0000 0.4294  5 Si 2.24-2.31
Ni 0.5000 0.5000 0.9294  5 Si 2.24-2.31

total energy	-48.27	eV per formula unit
symmetry	Amm2 (38)

***

[3]
Density functional theory data (PBE-GGA) for crystalline LuZnSiNi at its relaxed geometry.

a b c (Å): 6.3104 6.3104 6.3104
angles (deg): 90.00 90.00 90.00
With the nearest neighbours (Å) after each atom.
Fractional positions:
Lu 0.0000 0.0000 0.0000  4 Zn 2.73, 4 Si 2.73
Lu 0.0000 0.5000 0.5000  4 Si 2.73, 4 Zn 2.73
Lu 0.5000 0.0000 0.5000  4 Si 2.73, 4 Zn 2.73
Lu 0.5000 0.5000 0.0000  4 Si 2.73, 4 Zn 2.73
Zn 0.2500 0.2500 0.7500  4 Ni 2.73, 4 Lu 2.73
Zn 0.2500 0.7500 0.2500  4 Ni 2.73, 4 Lu 2.73
Zn 0.7500 0.2500 0.2500  4 Ni 2.73, 4 Lu 2.73
Zn 0.7500 0.7500 0.7500  4 Ni 2.73, 4 Lu 2.73
Si 0.2500 0.2500 0.2500  4 Ni 2.73, 4 Lu 2.73
Si 0.2500 0.7500 0.7500  4 Ni 2.73, 4 Lu 2.73
Si 0.7500 0.2500 0.7500  4 Ni 2.73, 4 Lu 2.73
Si 0.7500 0.7500 0.2500  4 Ni 2.73, 4 Lu 2.73
Ni 0.0000 0.0000 0.5000  4 Si 2.73, 4 Zn 2.73
Ni 0.0000 0.5000 0.0000  4 Si 2.73, 4 Zn 2.73
Ni 0.5000 0.0000 0.0000  4 Si 2.73, 4 Zn 2.73
Ni 0.5000 0.5000 0.5000  4 Si 2.73, 4 Zn 2.73

total energy	-17.87	eV per formula unit
symmetry	F-43m (216)

***

[4]
Density functional theory data (PBE-GGA) for crystalline LuZrSiNi at its relaxed geometry.

a b c (Å): 6.5663 6.5663 6.5663
angles (deg): 90.00 90.00 90.00
With the nearest neighbours (Å) after each atom.
Fractional positions:
Lu 0.0000 0.0000 0.0000  4 Zr 2.84, 4 Si 2.84
Lu 0.0000 0.5000 0.5000  4 Si 2.84, 4 Zr 2.84
Lu 0.5000 0.0000 0.5000  4 Si 2.84, 4 Zr 2.84
Lu 0.5000 0.5000 0.0000  4 Zr 2.84, 4 Si 2.84
Zr 0.2500 0.2500 0.7500  4 Ni 2.84, 4 Lu 2.84
Zr 0.2500 0.7500 0.2500  4 Ni 2.84, 4 Lu 2.84
Zr 0.7500 0.2500 0.2500  4 Ni 2.84, 4 Lu 2.84
Zr 0.7500 0.7500 0.7500  4 Ni 2.84, 4 Lu 2.84
Si 0.2500 0.2500 0.2500  4 Ni 2.84, 4 Lu 2.84
Si 0.2500 0.7500 0.7500  4 Ni 2.84, 4 Lu 2.84
Si 0.7500 0.2500 0.7500  4 Ni 2.84, 4 Lu 2.84
Si 0.7500 0.7500 0.2500  4 Ni 2.84, 4 Lu 2.84
Ni 0.0000 0.0000 0.5000  4 Zr 2.84, 4 Si 2.84
Ni 0.0000 0.5000 0.0000  4 Zr 2.84, 4 Si 2.84
Ni 0.5000 0.0000 0.0000  4 Zr 2.84, 4 Si 2.84
Ni 0.5000 0.5000 0.5000  4 Zr 2.84, 4 Si 2.84

total energy	-23.48	eV per formula unit
symmetry	F-43m (216)

***

[5]
Density functional theory data (PBE-GGA) for crystalline SmLuNi at its relaxed geometry.

a b c (Å): 6.7068 6.7068 6.7068
angles (deg): 90.00 90.00 90.00
With the nearest neighbours (Å) after each atom.
Fractional positions:
Sm 0.0000 0.0000 0.0000  4 Ni 2.90
Sm 0.0000 0.5000 0.5000  4 Ni 2.90
Sm 0.5000 0.0000 0.5000  4 Ni 2.90
Sm 0.5000 0.5000 0.0000  4 Ni 2.90
Lu 0.0000 0.0000 0.5000  4 Ni 2.90
Lu 0.0000 0.5000 0.0000  4 Ni 2.90
Lu 0.5000 0.0000 0.0000  4 Ni 2.90
Lu 0.5000 0.5000 0.5000  4 Ni 2.90
Ni 0.2500 0.2500 0.7500  4 Sm 2.90, 4 Lu 2.90
Ni 0.2500 0.7500 0.2500  4 Sm 2.90, 4 Lu 2.90
Ni 0.7500 0.2500 0.2500  4 Sm 2.90, 4 Lu 2.90
Ni 0.7500 0.7500 0.7500  4 Sm 2.90, 4 Lu 2.90

energy relative to the elements	-46	kJ/mol of formula units
energy above the most stable polymorph in this dataset	0.000	eV per atom
symmetry	F-43m (216)

***

[6]
Density functional theory data (PBE-GGA) for crystalline LuNiSn4 at its relaxed geometry.

a b c (Å): 10.6536 10.6536 6.3794
angles (deg): 90.00 90.00 157.10
With the nearest neighbours (Å) after each atom.
Fractional positions:
Lu 0.0931 0.9069 0.7500  11 Sn 3.21-3.52
Lu 0.9069 0.0931 0.2500  11 Sn 3.21-3.52
Ni 0.1970 0.8030 0.2500  7 Sn 2.54-2.78
Ni 0.8030 0.1970 0.7500  7 Sn 2.54-2.78
Sn 0.0755 0.9245 0.2500  1 Ni 2.54
Sn 0.3070 0.6930 0.0056  3 Ni 2.67-2.78
Sn 0.3070 0.6930 0.4944  3 Ni 2.67-2.78
Sn 0.5000 0.5000 0.0000  6 Sn 3.08-3.19, 4 Lu 3.29
Sn 0.5000 0.5000 0.5000  6 Sn 3.08-3.19, 4 Lu 3.29
Sn 0.6930 0.3070 0.5056  3 Ni 2.67-2.78
Sn 0.6930 0.3070 0.9944  3 Ni 2.67-2.78
Sn 0.9245 0.0755 0.7500  1 Ni 2.54

total energy	-27.66	eV per formula unit
symmetry	Cmcm (63)

***

[7]
Density functional theory data (PBE-GGA) for crystalline Lu2NiSn at its relaxed geometry.

a b c (Å): 6.9815 6.9815 6.9815
angles (deg): 90.00 90.00 90.00
With the nearest neighbours (Å) after each atom.
Fractional positions:
Lu 0.0000 0.0000 0.0000  4 Ni 3.02, 4 Lu 3.02
Lu 0.0000 0.5000 0.5000  4 Ni 3.02, 4 Lu 3.02
Lu 0.2500 0.2500 0.2500  4 Lu 3.02, 4 Sn 3.02
Lu 0.2500 0.7500 0.7500  4 Lu 3.02, 4 Sn 3.02
Lu 0.5000 0.0000 0.5000  4 Ni 3.02, 4 Lu 3.02
Lu 0.5000 0.5000 0.0000  4 Ni 3.02, 4 Lu 3.02
Lu 0.7500 0.2500 0.7500  4 Lu 3.02, 4 Sn 3.02
Lu 0.7500 0.7500 0.2500  4 Lu 3.02, 4 Sn 3.02
Ni 0.2500 0.2500 0.7500  4 Sn 3.02, 4 Lu 3.02
Ni 0.2500 0.7500 0.2500  4 Sn 3.02, 4 Lu 3.02
Ni 0.7500 0.2500 0.2500  4 Sn 3.02, 4 Lu 3.02
Ni 0.7500 0.7500 0.7500  4 Sn 3.02, 4 Lu 3.02
Sn 0.0000 0.0000 0.5000  4 Lu 3.02, 4 Ni 3.02
Sn 0.0000 0.5000 0.0000  4 Lu 3.02, 4 Ni 3.02
Sn 0.5000 0.0000 0.0000  4 Lu 3.02, 4 Ni 3.02
Sn 0.5000 0.5000 0.5000  4 Lu 3.02, 4 Ni 3.02

total energy	-18.92	eV per formula unit
symmetry	F-43m (216)

***

[8]
Density functional theory data (PBE-GGA) for crystalline Lu6Ni2Sn at its relaxed geometry.

a b c (Å): 8.2109 8.2109 8.2109
angles (deg): 112.57 110.15 105.77
With the nearest neighbours (Å) after each atom.
Fractional positions:
Lu 0.0266 0.2338 0.7928  1 Ni 2.68
Lu 0.1824 0.2925 0.4748  3 Ni 2.84-3.10, 1 Sn 3.17
Lu 0.1824 0.7075 0.8899  3 Ni 2.84-3.10, 1 Sn 3.17
Lu 0.3262 0.0194 0.6933  3 Ni 2.65-2.84
Lu 0.3262 0.6329 0.3067  3 Ni 2.65-2.84
Lu 0.4410 0.2338 0.2072  1 Ni 2.68
Lu 0.5590 0.7662 0.7928  1 Ni 2.68
Lu 0.6738 0.3671 0.6933  3 Ni 2.65-2.84
Lu 0.6738 0.9806 0.3067  3 Ni 2.65-2.84
Lu 0.8176 0.2925 0.1101  3 Ni 2.84-3.10, 1 Sn 3.17
Lu 0.8176 0.7075 0.5252  3 Ni 2.84-3.10, 1 Sn 3.17
Lu 0.9734 0.7662 0.2072  1 Ni 2.68
Ni 0.1258 0.6258 0.5000  1 Ni 2.49, 2 Lu 2.65
Ni 0.3505 0.0000 0.3505  6 Lu 2.68-2.84, 1 Ni 2.81
Ni 0.6495 0.0000 0.6495  6 Lu 2.68-2.84, 1 Ni 2.81
Ni 0.8742 0.3742 0.5000  1 Ni 2.49, 2 Lu 2.65
Sn 0.0000 0.0000 0.0000  8 Lu 3.03-3.17, 2 Ni 3.30
Sn 0.5000 0.5000 0.0000  12 Lu 3.28-3.53

total energy	-46.28	eV per formula unit
symmetry	Immm (71)

***

[9]
Density functional theory data (PBE-GGA) for crystalline LuNi2Sn at its relaxed geometry.

a b c (Å): 6.3836 6.3836 6.3836
angles (deg): 90.00 90.00 90.00
With the nearest neighbours (Å) after each atom.
Fractional positions:
Lu 0.0000 0.0000 0.0000  8 Ni 2.76
Lu 0.0000 0.5000 0.5000  8 Ni 2.76
Lu 0.5000 0.0000 0.5000  8 Ni 2.76
Lu 0.5000 0.5000 0.0000  8 Ni 2.76
Ni 0.2500 0.2500 0.2500  4 Sn 2.76, 4 Lu 2.76
Ni 0.2500 0.2500 0.7500  4 Sn 2.76, 4 Lu 2.76
Ni 0.2500 0.7500 0.2500  4 Sn 2.76, 4 Lu 2.76
Ni 0.2500 0.7500 0.7500  4 Sn 2.76, 4 Lu 2.76
Ni 0.7500 0.2500 0.2500  4 Sn 2.76, 4 Lu 2.76
Ni 0.7500 0.2500 0.7500  4 Sn 2.76, 4 Lu 2.76
Ni 0.7500 0.7500 0.2500  4 Sn 2.76, 4 Lu 2.76
Ni 0.7500 0.7500 0.7500  4 Sn 2.76, 4 Lu 2.76
Sn 0.0000 0.0000 0.5000  8 Ni 2.76
Sn 0.0000 0.5000 0.0000  8 Ni 2.76
Sn 0.5000 0.0000 0.0000  8 Ni 2.76
Sn 0.5000 0.5000 0.5000  8 Ni 2.76

total energy	-21.79	eV per formula unit
symmetry	Fm-3m (225)

***

[10]
Density functional theory data (PBE-GGA) for crystalline LuNiSn at its relaxed geometry.

a b c (Å): 5.2091 5.2091 7.9062
angles (deg): 90.00 90.00 120.00
With the nearest neighbours (Å) after each atom.
Fractional positions:
Lu 0.0000 0.0000 0.0000  3 Ni 3.30, 6 Sn 3.56-3.64
Lu 0.0000 0.0000 0.5000  3 Ni 3.30, 6 Sn 3.56-3.64
Ni 0.3333 0.6667 0.3282  4 Sn 3.06-3.41, 3 Lu 3.30
Ni 0.6667 0.3333 0.8282  4 Sn 3.06-3.41, 3 Lu 3.30
Sn 0.3333 0.6667 0.7589  4 Ni 3.06-3.41
Sn 0.6667 0.3333 0.2589  4 Ni 3.06-3.41

total energy	-13.57	eV per formula unit
symmetry	P6_3mc (186)

***

[11]
Density functional theory data (PBE-GGA) for crystalline LuNi5Sn at its relaxed geometry.

a b c (Å): 7.9693 4.8181 10.1954
angles (deg): 90.00 90.00 90.00
With the nearest neighbours (Å) after each atom.
Fractional positions:
Lu 0.2463 0.2500 0.0607  10 Ni 2.76-3.08
Lu 0.2537 0.7500 0.5607  10 Ni 2.76-3.08
Lu 0.7463 0.2500 0.4393  10 Ni 2.76-3.08
Lu 0.7537 0.7500 0.9393  10 Ni 2.76-3.08
Ni 0.0481 0.2500 0.5981  4 Ni 2.48-2.56, 1 Sn 2.53
Ni 0.0659 0.5014 0.8097  7 Ni 2.40-2.48, 2 Sn 2.67-2.68
Ni 0.0659 0.9986 0.8097  7 Ni 2.40-2.48, 2 Sn 2.67-2.68
Ni 0.0865 0.7500 0.0176  5 Ni 2.44-2.46, 1 Sn 2.71
Ni 0.1890 0.7500 0.2431  7 Ni 2.40-2.56
Ni 0.3110 0.2500 0.7431  7 Ni 2.40-2.56
Ni 0.4135 0.2500 0.5176  5 Ni 2.44-2.46, 1 Sn 2.71
Ni 0.4341 0.0014 0.3097  7 Ni 2.40-2.48, 2 Sn 2.67-2.68
Ni 0.4341 0.4986 0.3097  7 Ni 2.40-2.48, 2 Sn 2.67-2.68
Ni 0.4519 0.7500 0.0981  4 Ni 2.48-2.56, 1 Sn 2.53
Ni 0.5481 0.2500 0.9019  4 Ni 2.48-2.56, 1 Sn 2.53
Ni 0.5659 0.5014 0.6903  7 Ni 2.40-2.48, 2 Sn 2.67-2.68
Ni 0.5659 0.9986 0.6903  7 Ni 2.40-2.48, 2 Sn 2.67-2.68
Ni 0.5865 0.7500 0.4824  5 Ni 2.44-2.46, 1 Sn 2.71
Ni 0.6890 0.7500 0.2569  7 Ni 2.40-2.56
Ni 0.8110 0.2500 0.7569  7 Ni 2.40-2.56
Ni 0.9135 0.2500 0.9824  5 Ni 2.44-2.46, 1 Sn 2.71
Ni 0.9341 0.0014 0.1903  7 Ni 2.40-2.48, 2 Sn 2.67-2.68
Ni 0.9341 0.4986 0.1903  7 Ni 2.40-2.48, 2 Sn 2.67-2.68
Ni 0.9519 0.7500 0.4019  4 Ni 2.48-2.56, 1 Sn 2.53
Sn 0.1399 0.2500 0.3603  8 Ni 2.53-2.72
Sn 0.3601 0.7500 0.8603  8 Ni 2.53-2.72
Sn 0.6399 0.2500 0.1397  8 Ni 2.53-2.72
Sn 0.8601 0.7500 0.6397  8 Ni 2.53-2.72

total energy	-39.09	eV per formula unit
symmetry	Pnma (62)

***

[12]
Density functional theory data (PBE-GGA) for crystalline Lu2NiSn2 at its relaxed geometry.

a b c (Å): 5.7677 5.7677 10.7267
angles (deg): 114.55 114.55 44.54
With the nearest neighbours (Å) after each atom.
Fractional positions:
Lu 0.0048 0.0048 0.1713  3 Ni 2.96-3.23, 7 Sn 3.05-3.31
Lu 0.1832 0.1832 0.6213  2 Ni 3.02, 6 Sn 3.05-3.21
Lu 0.8168 0.8168 0.3787  2 Ni 3.02, 6 Sn 3.05-3.21
Lu 0.9952 0.9952 0.8287  3 Ni 2.96-3.23, 7 Sn 3.05-3.31
Ni 0.2820 0.2820 0.1714  4 Sn 2.56-2.76
Ni 0.7180 0.7180 0.8286  4 Sn 2.56-2.76
Sn 0.3398 0.3398 0.9450  3 Ni 2.56-2.76
Sn 0.4678 0.4678 0.6199  1 Ni 2.60
Sn 0.5322 0.5322 0.3801  1 Ni 2.60
Sn 0.6602 0.6602 0.0550  3 Ni 2.56-2.76

total energy	-25.72	eV per formula unit
symmetry	C2/m (12)